(1)
! ErUTe4, optimized geometry, DFT PBEsol; values from VASP
&SYSTEM
  ibrav = 0, nat = 6, ntyp = 3
/
ATOMIC_SPECIES
Te 127.60 Te.upf
U 238.03 U.upf
Er 167.26 Er.upf
ATOMIC_POSITIONS angstrom
Te 2.033 0.000 4.126
Te 0.000 3.019 2.797
Te 0.000 1.513 6.876
Te 0.000 -1.513 6.876
U 2.033 3.019 5.024
Er 0.000 0.000 1.890
CELL_PARAMETERS angstrom
4.067 0.000 0.000
0.000 6.038 0.000
-2.033 -3.019 6.897
! ΔE_f (raw) (eV/f.u.): -5.3
! Spin magnetization (μB/atom): 0.3685
! Electronic total energy (eV per atom): -6.075
! Volume (A^3/atom): 28.23



(2)
! ErTl, optimized geometry, DFT PBEsol; values from VASP
&SYSTEM
  ibrav = 0, nat = 2, ntyp = 2
/
ATOMIC_SPECIES
Tl 204.38 Tl.upf
Er 167.26 Er.upf
ATOMIC_POSITIONS angstrom
Tl -0.160 -2.551 1.963
Er 0.000 0.000 0.000
CELL_PARAMETERS angstrom
-0.525 0.308 3.405
-2.554 -2.326 -0.183
2.759 -3.084 0.705
! Spin magnetization (μB/atom): 0.0006
! Electronic total energy (eV per atom): -4.172
! Volume (A^3/atom): 25.11